Record 1
Compound: La3AuN
Source: the Alexandria database
Functional: PBE
Structure: relaxed

Cell lengths 12.3164, 12.3164, 12.3164 Å; angles 154.66, 154.66, 36.14 degrees
Closest atoms and distances in Å follow each position.
Element x y z (fractional)
La (0.2027, 0.2027, 0.0000)  2 N 2.89, 2 Au 2.92
La (0.3746, 0.6197, 0.7549)  2 La 2.65-2.75
La (0.3803, 0.1352, 0.7549)  2 La 2.65-2.75
La (0.3803, 0.6254, 0.2451)  2 La 2.65-2.75
La (0.7973, 0.7973, 0.0000)  2 N 2.89, 2 Au 2.92
La (0.8648, 0.6197, 0.2451)  2 La 2.65-2.75
Au (0.2500, 0.7500, 0.5000)  4 La 2.92
Au (0.5000, 0.5000, 0.0000)  4 La 3.10
N (0.6584, 0.1584, 0.5000)  6 La 2.89-3.14
N (0.8416, 0.3416, 0.5000)  6 La 2.89-3.14

uncorrected formation energy = 2.35 eV/f.u.
magnetic moment = 0.0 μB per formula unit
space group = I-4m2, No. 119
polymorph energy (0 for the lowest one) = 1381 meV per atom
total DFT energy (no corrections) = -48.071 eV for the cell shown

=====

Record 2
Compound: La3AuN
Source: the Alexandria database
Functional: PBE
Structure: relaxed

Cell lengths 5.1449, 7.0640, 7.0626 Å; angles 90.00, 90.00, 90.00 degrees
Closest atoms and distances in Å follow each position.
Element x y z (fractional)
La (0.0000, 0.0590, 0.0000)  2 N 2.57
La (0.0000, 0.4401, 0.6189)  2 N 2.56-2.57
La (0.0000, 0.5599, 0.1189)  2 N 2.56-2.57
La (0.0000, 0.9410, 0.5000)  2 N 2.57
La (0.5000, 0.2505, 0.3082)  2 N 2.57
La (0.5000, 0.7495, 0.8082)  2 N 2.57
Au (0.5000, 0.2489, 0.8085)  8 La 3.20-3.54
Au (0.5000, 0.7511, 0.3085)  8 La 3.20-3.54
N (0.0000, 0.2505, 0.3088)  6 La 2.56-2.57
N (0.0000, 0.7495, 0.8088)  6 La 2.56-2.57

uncorrected formation energy = -4.34 eV/f.u.
magnetic moment = 0.0 μB per formula unit
space group = Pmc2_1, No. 26
polymorph energy (0 for the lowest one) = 44 meV per atom
total DFT energy (no corrections) = -61.448 eV for the cell shown

=====

Record 3
Compound: LaAuN3
Source: the Alexandria database
Functional: PBE
Structure: relaxed

Cell lengths 4.3444, 4.3444, 4.3444 Å; angles 90.00, 90.00, 90.00 degrees
Closest atoms and distances in Å follow each position.
Element x y z (fractional)
La (0.0000, 0.0000, 0.0000)  6 N 2.17
Au (0.5000, 0.5000, 0.5000)  12 N 3.07
N (0.0000, 0.0000, 0.5000)  2 La 2.17
N (0.0000, 0.5000, 0.0000)  2 La 2.17
N (0.5000, 0.0000, 0.0000)  2 La 2.17

uncorrected formation energy = 9.15 eV/f.u.
magnetic moment = 0.0 μB per formula unit
space group = Pm-3m, No. 221
total DFT energy (no corrections) = -24.031 eV for the cell shown

=====

Record 4
Compound: LaAuN3
Source: the Alexandria database
Functional: PBE
Structure: relaxed

Cell lengths 4.0986, 4.0986, 4.0986 Å; angles 90.00, 90.00, 90.00 degrees
Closest atoms and distances in Å follow each position.
Element x y z (fractional)
La (0.0000, 0.0000, 0.0000)  12 N 2.90
Au (0.5000, 0.5000, 0.5000)  6 N 2.05
N (0.0000, 0.5000, 0.5000)  2 Au 2.05
N (0.5000, 0.0000, 0.5000)  2 Au 2.05
N (0.5000, 0.5000, 0.0000)  2 Au 2.05

uncorrected formation energy = 4.30 eV/f.u.
magnetic moment = 0.0 μB per formula unit
space group = Pm-3m, No. 221
total DFT energy (no corrections) = -28.884 eV for the cell shown